The following is a PBE-GGA calculation of crystalline DyThGa at its relaxed geometry, from Alexandria.

Calculated values
* ΔH_f (0 K): -0.132 eV per atom
* N(E_F): 1.122 states/eV/atom
* size of the total moment: 0.000 μB/f.u.
* density: 9.46 g cm⁻³
* relative energy among the computed polymorphs: 141 meV/atom

Cell: 3.7579 5.0051 5.0051 Å, 120.00 90.00 90.00°
Sites, in units of the cell vectors:
Dy1 0.0970 0.0000 0.0000
Ga1 0.2695 0.3333 0.6667
Th1 0.6335 0.6667 0.3333

***

The following is a PBE-GGA calculation of crystalline Dy2ThGa at its relaxed geometry, from Alexandria.

Calculated values
* ΔH_f (0 K): -0.004 eV per atom
* N(E_F): 1.081 states/eV/atom
* size of the total moment: 0.000 μB/f.u.
* density: 8.94 g cm⁻³
* relative energy among the computed polymorphs: 276 meV/atom

Cell: 3.4543 3.4543 11.4394 Å, 81.32 81.32 60.00°
Sites, in units of the cell vectors:
Dy1 0.1014 0.1014 0.6957
Dy2 0.8986 0.8986 0.3043
Th1 0.0000 0.0000 0.0000
Ga1 0.5000 0.5000 0.5000

***

The following is a PBE-GGA calculation of crystalline Dy2ThGa at its relaxed geometry, from Alexandria.

Calculated values
* ΔH_f (0 K): -0.280 eV per atom
* N(E_F): 0.941 states/eV/atom
* size of the total moment: 0.000 μB/f.u.
* density: 9.58 g cm⁻³
* relative energy among the computed polymorphs: 0 meV/atom

Cell: 3.5305 3.5305 8.7158 Å, 90.00 90.00 90.00°
Sites, in units of the cell vectors:
Dy1 0.0000 0.0000 0.2139
Dy2 0.0000 0.0000 0.7861
Th1 0.5000 0.5000 0.5000
Ga1 0.5000 0.5000 0.0000

***

The following is a PBE-GGA calculation of crystalline DyTh2Ga at its relaxed geometry, from Alexandria.

Calculated values
* ΔH_f (0 K): -0.103 eV per atom
* N(E_F): 1.785 states/eV/atom
* size of the total moment: 0.000 μB/f.u.
* density: 9.96 g cm⁻³
* relative energy among the computed polymorphs: 78 meV/atom

Cell: 3.8142 3.8142 7.9770 Å, 90.00 90.00 90.00°
Sites, in units of the cell vectors:
Ga1 0.5000 0.5000 0.0000
Th1 0.0000 0.0000 0.7922
Th2 0.0000 0.0000 0.2078
Dy1 0.5000 0.5000 0.5000

***

The following is a PBE-GGA calculation of crystalline DyThGa at its relaxed geometry, from Alexandria.

Calculated values
* ΔH_f (0 K): -0.255 eV per atom
* N(E_F): 1.096 states/eV/atom
* size of the total moment: 0.000 μB/f.u.
* density: 9.65 g cm⁻³
* relative energy among the computed polymorphs: 19 meV/atom

Cell: 5.2926 5.2926 6.5890 Å, 90.00 90.00 120.00°
Sites, in units of the cell vectors:
Ga1 0.6667 0.3333 0.3668
Ga2 0.3333 0.6667 0.8668
Th1 0.6667 0.3333 0.8667
Th2 0.3333 0.6667 0.3667
Dy1 0.0000 0.0000 0.1165
Dy2 0.0000 0.0000 0.6165

***

The following is a PBE-GGA calculation of crystalline Dy2ThGa6 at its relaxed geometry, from Alexandria.

Calculated values
* ΔH_f (0 K): -0.634 eV per atom
* N(E_F): 0.622 states/eV/atom
* size of the total moment: 0.000 μB/f.u.
* density: 8.35 g cm⁻³
* relative energy among the computed polymorphs: 0 meV/atom

Cell: 4.1560 7.3396 7.3397 Å, 120.00 90.00 90.00°
Sites, in units of the cell vectors:
Ga1 0.5000 0.3348 0.0000
Ga2 0.5000 0.6652 0.0000
Ga3 0.5000 0.0000 0.6652
Ga4 0.5000 0.3348 0.3348
Ga5 0.5000 0.6652 0.6652
Ga6 0.5000 0.0000 0.3348
Dy1 0.0000 0.6667 0.3333
Dy2 0.0000 0.3333 0.6667
Th1 0.0000 0.0000 0.0000